1.
# Sb2TeRh

A crystal of Sb2TeRh relaxed with PBEsol (meta-GGA SCAN, Alexandria via LeMat-Bulk).

Structure (extended XYZ):
```
4
Lattice="-4.210 0.172 -2.616 -0.583 -2.953 3.941 1.159 4.570 1.537" Properties=species:S:1:pos:R:3 pbc="T T T"
Rh 0.000 0.000 0.000
Sb -1.525 2.371 -0.540
Sb 0.288 0.809 2.739
Te -2.396 -1.390 0.662
```

Summary:
Energy relative to the elements, uncorrected, meV per atom: 75
Space-group type: I4/mmm (139)



2.
# Sb2TeRh

A crystal of Sb2TeRh relaxed with PBEsol (meta-GGA SCAN, Alexandria via LeMat-Bulk).

Structure (extended XYZ):
```
4
Lattice="-3.246 -0.416 -2.077 -0.034 -2.333 -3.096 -3.072 -6.465 2.479" Properties=species:S:1:pos:R:3 pbc="T T T"
Rh 0.000 0.000 0.000
Sb -1.485 -2.014 -0.893
Sb -4.868 -7.201 -1.801
Te -3.176 -4.607 -1.347
```

Summary:
Energy relative to the elements, uncorrected, meV per atom: -157
Space-group type: R-3m (166)



3.
# SbTeRh

A crystal of SbTeRh relaxed with PBEsol (meta-GGA SCAN, Alexandria via LeMat-Bulk).

Structure (extended XYZ):
```
3
Lattice="-0.015 -2.154 -2.365 -0.229 -2.358 2.150 -6.199 2.611 -0.176" Properties=species:S:1:pos:R:3 pbc="T T T"
Rh -6.437 -1.901 -0.390
Sb -1.783 -2.163 -0.182
Te -4.666 0.262 -0.209
```

Summary:
Energy relative to the elements, uncorrected, meV per atom: -159
Space-group type: I4mm (107)



4.
# TiSbTe2Rh

A crystal of TiSbTe2Rh relaxed with PBEsol (meta-GGA SCAN, Alexandria via LeMat-Bulk).

Structure (extended XYZ):
```
5
Lattice="-3.722 -2.614 2.287 3.431 -3.285 1.830 0.537 2.888 4.175" Properties=species:S:1:pos:R:3 pbc="T T T"
Sb 0.269 1.444 2.087
Te 1.716 -1.642 0.915
Te -1.861 -1.307 1.143
Rh 0.123 -1.505 4.146
Ti 0.000 0.000 0.000
```

Summary:
Energy relative to the elements, uncorrected, meV per atom: 656
Space-group type: P4/mmm (123)



| no. | N(E_F) (states/eV/f.u.) |
| --- | --- |
| 1 | 2.3 |
| 2 | 2.3 |
| 3 | 1.3 |
| 4 | 5.3 |